[1]
Density functional theory data (GGA-PBE) for an optimized crystal structure of Mg2SnNF.

- Electronic total energy: -3.980 eV/atom
- DOS at the Fermi energy: 0.19 states/eV/atom
- V: 18.66 A^3/atom
- Density: 3.57 g cm⁻³
- Formation energy from raw total energies: -0.50 eV/atom

Unit cell a=3.9511 b=5.9753 c=3.9511 alpha=90.00 beta=90.00 gamma=90.00
Closest atoms and distances in Å follow each position.
Element x y z (fractional)
F  0.0000  0.5000  0.0000  4 Sn 2.79, 2 N 2.99
Mg  0.0000  0.0000  0.5000  2 N 1.98
N  0.0000  0.0000  0.0000  4 Mg 1.98
Sn  0.5000  0.5000  0.5000  4 F 2.79
Mg  0.5000  0.0000  0.0000  2 N 1.98

***

[2]
Density functional theory data (GGA-PBE) for an optimized crystal structure of MgSnN2F.

- Electronic total energy: -4.765 eV/atom
- DOS at the Fermi energy: 0.65 states/eV/atom
- V: 12.63 A^3/atom
- Density: 5.00 g cm⁻³
- Formation energy from raw total energies: 0.06 eV/atom

Unit cell a=4.1240 b=4.1240 c=3.7121 alpha=90.00 beta=90.00 gamma=90.00
Closest atoms and distances in Å follow each position.
Element x y z (fractional)
N  0.0000  0.5000  0.0000  2 Mg 2.06
Sn  0.5000  0.5000  0.5000  8 N 2.77, 4 F 2.92
Mg  0.0000  0.0000  0.0000  2 F 1.86, 4 N 2.06
N  0.5000  0.0000  0.0000  2 Mg 2.06
F  0.0000  0.0000  0.5000  2 Mg 1.86

***

[3]
Density functional theory data (GGA-PBE) for an optimized crystal structure of MgSnN2F.

- Electronic total energy: -4.843 eV/atom
- DOS at the Fermi energy: 0.15 states/eV/atom
- V: 14.06 A^3/atom
- Density: 4.49 g cm⁻³
- Formation energy from raw total energies: -0.02 eV/atom

Unit cell a=4.1123 b=4.1123 c=4.1576 alpha=90.00 beta=90.00 gamma=90.00
Closest atoms and distances in Å follow each position.
Element x y z (fractional)
Mg  0.5000  0.5000  0.5000  4 F 2.91, 8 N 2.92
Sn  0.0000  0.0000  0.0000  4 N 2.06, 2 F 2.08
N  0.0000  0.5000  0.0000  2 Sn 2.06
F  0.0000  0.0000  0.5000  2 Sn 2.08
N  0.5000  0.0000  0.0000  2 Sn 2.06

***

[4]
Density functional theory data (GGA-PBE) for an optimized crystal structure of MgTaNF2.

- Electronic total energy: -6.392 eV/atom
- DOS at the Fermi energy: 0.38 states/eV/atom
- V: 14.59 A^3/atom
- Density: 5.86 g cm⁻³
- Formation energy from raw total energies: -1.29 eV/atom

Unit cell a=4.2554 b=4.2554 c=4.0273 alpha=90.00 beta=90.00 gamma=90.00
Closest atoms and distances in Å follow each position.
Element x y z (fractional)
Mg  0.5000  0.5000  0.5000  8 F 2.93, 4 N 3.01
F  0.0000  0.5000  0.0000  2 Ta 2.13
Ta  0.0000  0.0000  0.0000  2 N 2.01, 4 F 2.13
N  0.0000  0.0000  0.5000  2 Ta 2.01
F  0.5000  0.0000  0.0000  2 Ta 2.13

***

[5]
Density functional theory data (GGA-PBE) for an optimized crystal structure of MgTaNF2.

- Electronic total energy: -6.311 eV/atom
- DOS at the Fermi energy: 0.27 states/eV/atom
- V: 13.75 A^3/atom
- Density: 6.21 g cm⁻³
- Formation energy from raw total energies: -1.21 eV/atom

Unit cell a=3.4436 b=3.4436 c=5.7968 alpha=90.00 beta=90.00 gamma=90.00
Closest atoms and distances in Å follow each position.
Element x y z (fractional)
F  0.0000  0.5000  0.0000  2 Mg 1.72
Mg  0.0000  0.0000  0.0000  4 F 1.72
N  0.0000  0.0000  0.5000  4 Ta 2.43
Ta  0.5000  0.5000  0.5000  4 N 2.43
F  0.5000  0.0000  0.0000  2 Mg 1.72

***

[6]
Density functional theory data (GGA-PBE) for an optimized crystal structure of MgTeN2F.

- Electronic total energy: -3.186 eV/atom
- DOS at the Fermi energy: 0.42 states/eV/atom
- V: 17.19 A^3/atom
- Density: 3.84 g cm⁻³
- Formation energy from raw total energies: 1.47 eV/atom

Unit cell a=4.5532 b=4.5532 c=4.1467 alpha=90.00 beta=90.00 gamma=90.00
Closest atoms and distances in Å follow each position.
Element x y z (fractional)
N  0.5000  0.0000  0.0000  2 F 2.28
Mg  0.5000  0.5000  0.5000  8 N 3.08, 4 Te 3.22
Te  0.0000  0.0000  0.5000  2 F 2.07
F  0.0000  0.0000  0.0000  2 Te 2.07, 4 N 2.28
N  0.0000  0.5000  0.0000  2 F 2.28

***

[7]
Density functional theory data (GGA-PBE) for an optimized crystal structure of MgTeN2F.

- Electronic total energy: -4.394 eV/atom
- DOS at the Fermi energy: 0.39 states/eV/atom
- V: 12.78 A^3/atom
- Density: 5.17 g cm⁻³
- Formation energy from raw total energies: 0.26 eV/atom

Unit cell a=4.1862 b=4.1862 c=3.6457 alpha=90.00 beta=90.00 gamma=90.00
Closest atoms and distances in Å follow each position.
Element x y z (fractional)
F  0.0000  0.0000  0.5000  2 Mg 1.82
Mg  0.0000  0.0000  0.0000  2 F 1.82
Te  0.5000  0.5000  0.5000  8 N 2.78, 4 F 2.96
N  0.5000  0.0000  0.0000  2 Mg 2.09
N  0.0000  0.5000  0.0000  2 Mg 2.09

***

[8]
Density functional theory data (GGA-PBE) for an optimized crystal structure of MgTeN2F.

- Electronic total energy: -3.549 eV/atom
- DOS at the Fermi energy: 0.55 states/eV/atom
- V: 20.07 A^3/atom
- Density: 3.29 g cm⁻³
- Formation energy from raw total energies: 1.10 eV/atom

Unit cell a=4.0241 b=4.0241 c=6.1972 alpha=90.00 beta=90.00 gamma=90.00
Closest atoms and distances in Å follow each position.
Element x y z (fractional)
Mg  0.0000  0.0000  0.0000  4 N 2.01
Te  0.0000  0.0000  0.5000  4 F 2.85, 2 Mg 3.10
N  0.5000  0.0000  0.0000  2 Mg 2.01
N  0.0000  0.5000  0.0000  2 Mg 2.01
F  0.5000  0.5000  0.5000  4 Te 2.85

***

[9]
Density functional theory data (GGA-PBE) for an optimized crystal structure of MgTeN2F.

- Electronic total energy: -4.310 eV/atom
- DOS at the Fermi energy: 0.43 states/eV/atom
- V: 14.47 A^3/atom
- Density: 4.57 g cm⁻³
- Formation energy from raw total energies: 0.34 eV/atom

Unit cell a=4.1507 b=4.1507 c=4.1984 alpha=90.00 beta=90.00 gamma=90.00
Closest atoms and distances in Å follow each position.
Element x y z (fractional)
N  0.0000  0.5000  0.0000  2 Te 2.08
F  0.0000  0.0000  0.5000  2 Te 2.10
Te  0.0000  0.0000  0.0000  4 N 2.08, 2 F 2.10
N  0.5000  0.0000  0.0000  2 Te 2.08
Mg  0.5000  0.5000  0.5000  4 F 2.94, 8 N 2.95

***

[10]
Density functional theory data (GGA-PBE) for an optimized crystal structure of MgTlN2F.

- Electronic total energy: -3.756 eV/atom
- DOS at the Fermi energy: 0.56 states/eV/atom
- V: 16.55 A^3/atom
- Density: 5.53 g cm⁻³
- Formation energy from raw total energies: 0.74 eV/atom

Unit cell a=4.2926 b=4.2926 c=4.4898 alpha=90.00 beta=90.00 gamma=90.00
Closest atoms and distances in Å follow each position.
Element x y z (fractional)
Mg  0.5000  0.5000  0.5000  4 F 3.04, 8 N 3.11
F  0.0000  0.0000  0.5000  2 Tl 2.24
N  0.5000  0.0000  0.0000  2 Tl 2.15
N  0.0000  0.5000  0.0000  2 Tl 2.15
Tl  0.0000  0.0000  0.0000  4 N 2.15, 2 F 2.24

***

[11]
Density functional theory data (GGA-PBE) for an optimized crystal structure of MgTlN2F.

- Electronic total energy: -4.298 eV/atom
- DOS at the Fermi energy: 0.32 states/eV/atom
- V: 15.45 A^3/atom
- Density: 5.93 g cm⁻³
- Formation energy from raw total energies: 0.20 eV/atom

Unit cell a=4.3968 b=4.3968 c=3.9968 alpha=90.00 beta=90.00 gamma=90.00
Closest atoms and distances in Å follow each position.
Element x y z (fractional)
Tl  0.5000  0.5000  0.5000  8 N 2.97, 4 F 3.11
Mg  0.0000  0.0000  0.0000  2 F 2.00, 4 N 2.20
F  0.0000  0.0000  0.5000  2 Mg 2.00
N  0.0000  0.5000  0.0000  2 Mg 2.20
N  0.5000  0.0000  0.0000  2 Mg 2.20